Below is a crystal of RbTaSb2Se relaxed with PBEsol, with properties calculated at the SCAN level.

Crystal system ... tetragonal
Volume ... 32.196 Å³ per atom
Calculated total energy ... -33.788 eV/atom
Uncorrected formation energy ... 59.9 kcal/mol of atoms

Structure (CIF):
```
data_RbTaSb2Se
_symmetry_space_group_name_H-M 'P 4/m m m'
_symmetry_Int_Tables_number 123
_symmetry_space_group_name_Hall '-P 4 2'
_cell_length_a 5.664
_cell_length_b 5.664
_cell_length_c 5.017
_cell_angle_alpha 90.00
_cell_angle_beta 90.00
_cell_angle_gamma 90.00
loop_
_atom_site_label
_atom_site_type_symbol
_atom_site_fract_x
_atom_site_fract_y
_atom_site_fract_z
Rb1 Rb 0.000 0.000 0.000
Ta1 Ta 0.000 0.000 0.500
Sb1 Sb 0.000 0.500 0.000
Se1 Se 0.500 0.500 0.500
```



Below is a crystal of Rb2TcSbSe relaxed with PBEsol, with properties calculated at the SCAN level.

Crystal system ... tetragonal
Volume ... 38.128 Å³ per atom
Calculated total energy ... -26.358 eV/atom
Uncorrected formation energy ... 9.6 kcal/mol of atoms

Structure (CIF):
```
data_Rb2TcSbSe
_symmetry_space_group_name_H-M 'P 4/m m m'
_symmetry_Int_Tables_number 123
_symmetry_space_group_name_Hall '-P 4 2'
_cell_length_a 6.172
_cell_length_b 6.172
_cell_length_c 5.004
_cell_angle_alpha 90.00
_cell_angle_beta 90.00
_cell_angle_gamma 90.00
loop_
_atom_site_label
_atom_site_type_symbol
_atom_site_fract_x
_atom_site_fract_y
_atom_site_fract_z
Rb1 Rb 0.000 0.500 0.000
Tc1 Tc 0.000 0.000 0.000
Sb1 Sb 0.000 0.000 0.500
Se1 Se 0.500 0.500 0.500
```



Below is a crystal of Rb2SiSb2 relaxed with PBEsol, with properties calculated at the SCAN level.

Crystal system ... tetragonal
Volume ... 32.696 Å³ per atom
Calculated total energy ... -25.267 eV/atom
Uncorrected formation energy ... -1.5 kcal/mol of atoms

Structure (CIF):
```
data_Rb2SiSb2
_symmetry_space_group_name_H-M 'P 4/m b m'
_symmetry_Int_Tables_number 127
_symmetry_space_group_name_Hall '-P 4 2ab'
_cell_length_a 7.463
_cell_length_b 7.463
_cell_length_c 5.871
_cell_angle_alpha 90.00
_cell_angle_beta 90.00
_cell_angle_gamma 90.00
loop_
_atom_site_label
_atom_site_type_symbol
_atom_site_fract_x
_atom_site_fract_y
_atom_site_fract_z
Rb1 Rb 0.173 0.327 0.000
Si1 Si 0.000 0.000 0.500
Sb1 Sb 0.138 0.638 0.500
```



Below is a crystal of Rb4SnSb6 relaxed with PBEsol, with properties calculated at the SCAN level.

Crystal system ... trigonal
Volume ... 41.614 Å³ per atom
Calculated total energy ... -31.501 eV/atom
Uncorrected formation energy ... -8.5 kcal/mol of atoms

Structure (CIF):
```
data_Rb4SnSb6
_symmetry_space_group_name_H-M 'P -3'
_symmetry_Int_Tables_number 147
_cell_length_a 14.8688
_cell_length_b 14.8688
_cell_length_c 14.3450
_cell_angle_alpha 90.00
_cell_angle_beta 90.00
_cell_angle_gamma 120.00
loop_
_symmetry_equiv_pos_as_xyz
'x,y,z'
'-x,-y,-z'
'-y,x-y,z'
'y,-x+y,-z'
'-x+y,-x,z'
'x-y,x,-z'
loop_
_atom_site_label
_atom_site_type_symbol
_atom_site_fract_x
_atom_site_fract_y
_atom_site_fract_z
Rb1 Rb 0.0000 0.0000 0.0000
Rb2 Rb 0.0000 0.0000 0.5000
Rb3 Rb 0.0358 0.3963 0.4501
Rb4 Rb 0.0979 0.3266 0.1529
Rb5 Rb 0.1841 0.7016 0.8838
Rb6 Rb 0.3333 0.6667 0.2031
Rb7 Rb 0.3333 0.6667 0.4985
Sn1 Sn 0.0352 0.5442 0.2239
Sb1 Sb 0.0034 0.3524 0.9237
Sb2 Sb 0.0469 0.8162 0.3529
Sb3 Sb 0.0575 0.2247 0.8280
Sb4 Sb 0.1549 0.7100 0.3490
Sb5 Sb 0.1601 0.5294 0.6862
Sb6 Sb 0.1678 0.3489 0.6634
```



Below is a crystal of Rb3SnSb relaxed with PBEsol, with properties calculated at the SCAN level.

Crystal system ... cubic
Volume ... 64.466 Å³ per atom
Energy above the most stable polymorph in this dataset ... 0 meV per atom
Calculated total energy ... -26.948 eV/atom
Uncorrected formation energy ... 3.0 kcal/mol of atoms

Structure (CIF):
```
data_Rb3SnSb
_symmetry_space_group_name_H-M 'P m -3 m'
_symmetry_Int_Tables_number 221
_symmetry_space_group_name_Hall '-P 4 2 3'
_cell_length_a 6.856
_cell_length_b 6.856
_cell_length_c 6.856
_cell_angle_alpha 90.00
_cell_angle_beta 90.00
_cell_angle_gamma 90.00
loop_
_atom_site_label
_atom_site_type_symbol
_atom_site_fract_x
_atom_site_fract_y
_atom_site_fract_z
Rb1 Rb 0.000 0.000 0.500
Sn1 Sn 0.500 0.500 0.500
Sb1 Sb 0.000 0.000 0.000
```



Below is a crystal of RbSr2TcSb relaxed with PBEsol, with properties calculated at the SCAN level.

Crystal system ... tetragonal
Volume ... 42.184 Å³ per atom
Calculated total energy ... -25.971 eV/atom
Uncorrected formation energy ... 35.8 kcal/mol of atoms

Structure (CIF):
```
data_RbSr2TcSb
_symmetry_space_group_name_H-M 'P 4/m m m'
_symmetry_Int_Tables_number 123
_symmetry_space_group_name_Hall '-P 4 2'
_cell_length_a 6.021
_cell_length_b 6.021
_cell_length_c 5.818
_cell_angle_alpha 90.00
_cell_angle_beta 90.00
_cell_angle_gamma 90.00
loop_
_atom_site_label
_atom_site_type_symbol
_atom_site_fract_x
_atom_site_fract_y
_atom_site_fract_z
Rb1 Rb 0.000 0.000 0.000
Sr1 Sr 0.000 0.500 0.000
Tc1 Tc 0.500 0.500 0.500
Sb1 Sb 0.000 0.000 0.500
```



Below is a crystal of RbZnSb2Te relaxed with PBEsol, with properties calculated at the SCAN level.

Crystal system ... tetragonal
Volume ... 42.677 Å³ per atom
Calculated total energy ... -27.732 eV/atom
Uncorrected formation energy ... 34.0 kcal/mol of atoms

Structure (CIF):
```
data_RbZnSb2Te
_symmetry_space_group_name_H-M 'P 4/m m m'
_symmetry_Int_Tables_number 123
_symmetry_space_group_name_Hall '-P 4 2'
_cell_length_a 5.953
_cell_length_b 5.953
_cell_length_c 6.022
_cell_angle_alpha 90.00
_cell_angle_beta 90.00
_cell_angle_gamma 90.00
loop_
_atom_site_label
_atom_site_type_symbol
_atom_site_fract_x
_atom_site_fract_y
_atom_site_fract_z
Rb1 Rb 0.000 0.000 0.000
Zn1 Zn 0.500 0.500 0.500
Sb1 Sb 0.000 0.500 0.000
Te1 Te 0.000 0.000 0.500
```



Below is a crystal of RbZrSb2Te relaxed with PBEsol, with properties calculated at the SCAN level.

Crystal system ... tetragonal
Volume ... 35.910 Å³ per atom
Calculated total energy ... -31.110 eV/atom
Uncorrected formation energy ... 35.3 kcal/mol of atoms

Structure (CIF):
```
data_RbZrSb2Te
_symmetry_space_group_name_H-M 'P 4/m m m'
_symmetry_Int_Tables_number 123
_symmetry_space_group_name_Hall '-P 4 2'
_cell_length_a 5.571
_cell_length_b 5.571
_cell_length_c 5.785
_cell_angle_alpha 90.00
_cell_angle_beta 90.00
_cell_angle_gamma 90.00
loop_
_atom_site_label
_atom_site_type_symbol
_atom_site_fract_x
_atom_site_fract_y
_atom_site_fract_z
Rb1 Rb 0.000 0.000 0.000
Zr1 Zr 0.500 0.500 0.500
Sb1 Sb 0.000 0.500 0.000
Te1 Te 0.000 0.000 0.500
```



Below is a crystal of RbTiSb2 relaxed with PBEsol, with properties calculated at the SCAN level.

Crystal system ... cubic
Volume ... 25.578 Å³ per atom
Calculated total energy ... -27.621 eV/atom
Uncorrected formation energy ... 4.6 kcal/mol of atoms

Structure (CIF):
```
data_RbTiSb2
_symmetry_space_group_name_H-M 'F m -3 m'
_symmetry_Int_Tables_number 225
_symmetry_space_group_name_Hall '-F 4 2 3'
_cell_length_a 7.424
_cell_length_b 7.424
_cell_length_c 7.424
_cell_angle_alpha 90.00
_cell_angle_beta 90.00
_cell_angle_gamma 90.00
loop_
_atom_site_label
_atom_site_type_symbol
_atom_site_fract_x
_atom_site_fract_y
_atom_site_fract_z
Rb1 Rb 0.000 0.000 0.000
Ti1 Ti 0.000 0.000 0.500
Sb1 Sb 0.250 0.250 0.250
```



Below is a crystal of RbTlZnSb2 relaxed with PBEsol, with properties calculated at the SCAN level.

Crystal system ... tetragonal
Volume ... 42.647 Å³ per atom
Calculated total energy ... -35.715 eV/atom
Uncorrected formation energy ... 11.8 kcal/mol of atoms

Structure (CIF):
```
data_RbTlZnSb2
_symmetry_space_group_name_H-M 'P 4/m m m'
_symmetry_Int_Tables_number 123
_symmetry_space_group_name_Hall '-P 4 2'
_cell_length_a 5.624
_cell_length_b 5.624
_cell_length_c 6.743
_cell_angle_alpha 90.00
_cell_angle_beta 90.00
_cell_angle_gamma 90.00
loop_
_atom_site_label
_atom_site_type_symbol
_atom_site_fract_x
_atom_site_fract_y
_atom_site_fract_z
Rb1 Rb 0.000 0.000 0.000
Tl1 Tl 0.000 0.000 0.500
Zn1 Zn 0.500 0.500 0.000
Sb1 Sb 0.000 0.500 0.500
```



Below is a crystal of RbY3Sb relaxed with PBEsol, with properties calculated at the SCAN level.

Crystal system ... cubic
Volume ... 40.053 Å³ per atom
Calculated total energy ... -28.188 eV/atom
Uncorrected formation energy ... 2.7 kcal/mol of atoms

Structure (CIF):
```
data_RbY3Sb
_symmetry_space_group_name_H-M 'P m -3 m'
_symmetry_Int_Tables_number 221
_symmetry_space_group_name_Hall '-P 4 2 3'
_cell_length_a 5.851
_cell_length_b 5.851
_cell_length_c 5.851
_cell_angle_alpha 90.00
_cell_angle_beta 90.00
_cell_angle_gamma 90.00
loop_
_atom_site_label
_atom_site_type_symbol
_atom_site_fract_x
_atom_site_fract_y
_atom_site_fract_z
Rb1 Rb 0.000 0.000 0.000
Y1 Y 0.000 0.500 0.500
Sb1 Sb 0.500 0.500 0.500
```



Below is a crystal of Rb2Zn5Sb4 relaxed with PBEsol, with properties calculated at the SCAN level.

Crystal system ... orthorhombic
Volume ... 26.002 Å³ per atom
Calculated total energy ... -23.722 eV/atom
Uncorrected formation energy ... -6.0 kcal/mol of atoms

Structure (CIF):
```
data_Rb2Zn5Sb4
_symmetry_space_group_name_H-M 'C m c m'
_symmetry_Int_Tables_number 63
_symmetry_space_group_name_Hall '-C 2c 2'
_cell_length_a 12.317
_cell_length_b 7.528
_cell_length_c 12.339
_cell_angle_alpha 90.00
_cell_angle_beta 90.00
_cell_angle_gamma 90.00
loop_
_atom_site_label
_atom_site_type_symbol
_atom_site_fract_x
_atom_site_fract_y
_atom_site_fract_z
Rb1 Rb 0.224 0.000 0.000
Zn1 Zn 0.000 0.007 0.250
Zn2 Zn 0.000 0.344 0.611
Zn3 Zn 0.140 0.399 0.250
Sb1 Sb 0.000 0.276 0.099
Sb2 Sb 0.160 0.237 0.750
```